{
  "formula": "Zr3PbF",
  "functional": "PBE-GGA",
  "state": "optimized geometry",
  "e_tot_ev_per_atom": -6.8347,
  "dos_at_fermi_per_ev_atom": 1.13,
  "lattice_angstrom": [[4.6230, 0.0000, 0.0000], [0.0000, 4.6230, 0.0000], [0.0000, 0.0000, 4.6230]],
  "species": ["Pb", "Zr", "Zr", "Zr", "F"],
  "frac_coords": [[0.5000, 0.5000, 0.5000], [0.0000, 0.5000, 0.0000], [0.0000, 0.0000, 0.5000], [0.5000, 0.0000, 0.0000], [0.0000, 0.0000, 0.0000]]
}

***

{
  "formula": "TbCe5In2",
  "functional": "PBE-GGA",
  "state": "optimized geometry",
  "formation_enthalpy_0k_ev_per_atom": -0.205,
  "dos_at_fermi_per_ev_atom": 2.74,
  "lattice_angstrom": [[-3.6502, 2.8063, 0.5830], [-1.8301, -3.5422, 5.5916], [7.6776, 8.3636, 7.8111]],
  "species": ["Tb", "Tb", "Ce", "Ce", "Ce", "Ce", "Ce", "Ce", "Ce", "Ce", "Ce", "Ce", "In", "In", "In", "In"],
  "frac_coords": [[0.0000, 0.0000, 0.5000], [0.0000, 0.5000, 0.0000], [0.0000, 0.0000, 0.0000], [0.0000, 0.5000, 0.5000], [0.0000, 0.5388, 0.7311], [0.0000, 0.4612, 0.2689], [0.0000, 0.9612, 0.2311], [0.0000, 0.0388, 0.7689], [0.5000, 0.2301, 0.8613], [0.5000, 0.7699, 0.1387], [0.5000, 0.2699, 0.3613], [0.5000, 0.7301, 0.6387], [0.5000, 0.2394, 0.6176], [0.5000, 0.7606, 0.3824], [0.5000, 0.2606, 0.1176], [0.5000, 0.7394, 0.8824]]
}

***

{
  "formula": "Be2CrW",
  "functional": "PBE-GGA",
  "state": "optimized geometry",
  "formation_enthalpy_0k_ev_per_atom": 0.143,
  "dos_at_fermi_per_ev_atom": 0.56,
  "lattice_angstrom": [[4.4165, -0.0126, 0.0000], [1.6113, 4.1121, 0.0000], [-3.0139, -2.0497, 2.4941]],
  "species": ["Cr", "W", "Be", "Be"],
  "frac_coords": [[0.2500, 0.7500, 0.5000], [0.7500, 0.2500, 0.5000], [0.0000, 0.0000, 0.0000], [0.5000, 0.5000, 0.0000]]
}

***

{
  "formula": "CeZn4Ir2",
  "functional": "PBE-GGA",
  "state": "optimized geometry",
  "formation_enthalpy_0k_ev_per_atom": -0.423,
  "dos_at_fermi_per_ev_atom": 0.57,
  "lattice_angstrom": [[-1.9462, -1.5489, -2.9877], [-3.2117, -5.3341, 4.8574], [-6.0347, 4.9000, 1.3908]],
  "species": ["Ce", "Ce", "Zn", "Zn", "Zn", "Zn", "Zn", "Zn", "Zn", "Zn", "Ir", "Ir", "Ir", "Ir"],
  "frac_coords": [[0.5000, 0.0000, 0.0000], [0.0000, 0.5000, 0.5000], [0.0000, 0.0989, 0.3493], [0.0000, 0.9011, 0.6507], [0.5000, 0.1507, 0.5989], [0.5000, 0.8493, 0.4011], [0.5000, 0.4011, 0.8493], [0.5000, 0.5989, 0.1507], [0.0000, 0.3493, 0.0989], [0.0000, 0.6507, 0.9011], [0.0000, 0.1838, 0.8162], [0.0000, 0.8162, 0.1838], [0.5000, 0.6838, 0.6838], [0.5000, 0.3162, 0.3162]]
}

***

{
  "formula": "Ba6InPt2",
  "functional": "PBE-GGA",
  "state": "optimized geometry",
  "formation_enthalpy_0k_ev_per_atom": -0.481,
  "dos_at_fermi_per_ev_atom": 0.91,
  "lattice_angstrom": [[2.0974, 8.9894, -3.3572], [6.0214, -7.0183, -3.3112], [-8.9219, -2.7031, -3.0937]],
  "species": ["Ba", "Ba", "Ba", "Ba", "Ba", "Ba", "Ba", "Ba", "Ba", "Ba", "Ba", "Ba", "In", "In", "Pt", "Pt", "Pt", "Pt"],
  "frac_coords": [[0.4631, 0.2877, 0.1754], [0.5369, 0.7123, 0.8246], [0.8877, 0.7123, 0.1754], [0.1123, 0.2877, 0.8246], [0.1936, 0.7587, 0.9522], [0.8064, 0.2413, 0.0478], [0.8064, 0.7587, 0.5651], [0.1936, 0.2413, 0.4349], [0.3214, 0.9832, 0.6618], [0.6786, 0.0168, 0.3382], [0.6786, 0.3403, 0.6618], [0.3214, 0.6597, 0.3382], [0.0000, 0.5000, 0.5000], [0.0000, 0.0000, 0.0000], [0.5000, 0.3780, 0.8780], [0.5000, 0.6220, 0.1220], [0.3143, 0.0000, 0.3143], [0.6857, 0.0000, 0.6857]]
}

***

{
  "formula": "Al2InSb",
  "functional": "PBE-GGA",
  "state": "optimized geometry",
  "e_tot_ev_per_atom": -3.3669,
  "dos_at_fermi_per_ev_atom": 0.31,
  "lattice_angstrom": [[-7.3780, 5.8030, -3.8601], [-8.3229, 5.7588, -0.7589], [-6.1108, 7.9126, -1.7491]],
  "species": ["Sb", "Al", "Al", "In"],
  "frac_coords": [[0.7500, 0.7500, 0.7500], [0.9994, 0.9994, 0.9994], [0.5006, 0.5006, 0.5006], [0.2500, 0.2500, 0.2500]]
}

***

{
  "formula": "TlPIrS2",
  "functional": "PBE-GGA",
  "state": "optimized geometry",
  "e_tot_ev_per_atom": -4.6561,
  "dos_at_fermi_per_ev_atom": 1.32,
  "lattice_angstrom": [[-0.9374, -1.9081, -4.5160], [2.5092, -4.1367, 1.2270], [-3.7232, -1.8032, 1.5348]],
  "species": ["P", "Tl", "Ir", "S", "S"],
  "frac_coords": [[0.0000, 0.0000, 0.5000], [0.5000, 0.5000, 0.5000], [0.0000, 0.0000, 0.0000], [0.0000, 0.5000, 0.0000], [0.5000, 0.0000, 0.0000]]
}

***

{
  "formula": "Y4SnAu",
  "functional": "PBE-GGA",
  "state": "optimized geometry",
  "formation_enthalpy_0k_ev_per_atom": -0.386,
  "dos_at_fermi_per_ev_atom": 1.08,
  "lattice_angstrom": [[-5.2143, 4.6156, -1.9508], [-2.0551, -4.5239, -5.2106], [-4.5577, -3.3281, 4.6872]],
  "species": ["Y", "Y", "Y", "Y", "Y", "Y", "Y", "Y", "Sn", "Sn", "Au", "Au"],
  "frac_coords": [[0.8523, 0.6513, 0.1695], [0.6477, 0.1513, 0.8305], [0.3304, 0.3365, 0.3520], [0.1696, 0.8365, 0.6480], [0.1477, 0.3487, 0.8305], [0.3523, 0.8487, 0.1695], [0.6696, 0.6635, 0.6480], [0.8304, 0.1635, 0.3520], [0.0000, 0.0000, 0.0000], [0.5000, 0.5000, 0.0000], [0.5000, 0.0000, 0.5000], [0.0000, 0.5000, 0.5000]]
}

***

{
  "formula": "Ac2CeRu",
  "functional": "PBE-GGA",
  "state": "optimized geometry",
  "formation_enthalpy_0k_ev_per_atom": 0.286,
  "dos_at_fermi_per_ev_atom": 2.60,
  "lattice_angstrom": [[4.0460, 0.0000, 0.0000], [2.0230, 3.5039, 0.0000], [2.0230, 1.1680, 10.8353]],
  "species": ["Ru", "Ac", "Ac", "Ce"],
  "frac_coords": [[0.5000, 0.5000, 0.5000], [0.1141, 0.1141, 0.6576], [0.8859, 0.8859, 0.3424], [0.0000, 0.0000, 0.0000]]
}

***

{
  "formula": "LiAc2In3Pt4",
  "functional": "PBE-GGA",
  "state": "optimized geometry",
  "formation_enthalpy_0k_ev_per_atom": -0.743,
  "dos_at_fermi_per_ev_atom": 0.66,
  "lattice_angstrom": [[-3.4457, 0.4838, 2.9059], [2.4438, -2.0276, 3.2354], [4.1272, 10.1000, 3.2122]],
  "species": ["Li", "Ac", "Ac", "In", "In", "In", "Pt", "Pt", "Pt", "Pt"],
  "frac_coords": [[0.5000, 0.5000, 0.5000], [0.5000, 0.0000, 0.2471], [0.0000, 0.5000, 0.7529], [0.0000, 0.0000, 0.5000], [0.5000, 0.0000, 0.8743], [0.0000, 0.5000, 0.1257], [0.5000, 0.5000, 0.0000], [0.0000, 0.0000, 0.0000], [0.5000, 0.0000, 0.6382], [0.0000, 0.5000, 0.3618]]
}

***

{
  "formula": "NaYO",
  "functional": "PBE-GGA",
  "state": "optimized geometry",
  "e_tot_ev_per_atom": -5.9688,
  "dos_at_fermi_per_ev_atom": 0.35,
  "lattice_angstrom": [[-6.0701, 1.5119, -0.2275], [-0.0275, -0.6216, -3.3969], [-1.3669, -6.3303, 1.1695]],
  "species": ["Na", "Na", "Y", "Y", "O", "O"],
  "frac_coords": [[0.4378, 0.0000, 0.2338], [0.4962, 0.5000, 0.7262], [0.9606, 0.0000, 0.5281], [0.9461, 0.5000, 0.0231], [0.0637, 0.0000, 0.2131], [0.8127, 0.0000, 0.8265]]
}

***

{
  "formula": "KHCl3",
  "functional": "PBE-GGA",
  "state": "optimized geometry",
  "e_tot_ev_per_atom": -2.8058,
  "dos_at_fermi_per_ev_atom": 0.16,
  "lattice_angstrom": [[4.8510, 0.0000, 0.6375], [0.0000, 6.5821, 0.0000], [0.5764, 0.0000, 8.3542]],
  "species": ["K", "K", "H", "H", "Cl", "Cl", "Cl", "Cl", "Cl", "Cl"],
  "frac_coords": [[0.7456, 0.7500, 0.3452], [0.2544, 0.2500, 0.6548], [0.7003, 0.7500, 0.8548], [0.2997, 0.2500, 0.1452], [0.2915, 0.0146, 0.1466], [0.7085, 0.9854, 0.8534], [0.2915, 0.4854, 0.1466], [0.7085, 0.5146, 0.8534], [0.1607, 0.7500, 0.5899], [0.8393, 0.2500, 0.4101]]
}